IrWF2: optimized geometry, GGA+U.

```
data_IrWF2
_chemical_formula_sum 'Ir3 W3 F6'
_cell_length_a 2.8110
_cell_length_b 2.8110
_cell_length_c 33.0770
_cell_angle_alpha 90.00
_cell_angle_beta 90.00
_cell_angle_gamma 120.00
_space_group_name_H-M_alt 'R -3 m'
_space_group_IT_number 166
_space_group_name_Hall '-R 3 2"'
loop_
_atom_site_label
_atom_site_type_symbol
_atom_site_fract_x
_atom_site_fract_y
_atom_site_fract_z
_atom_site_occupancy
Ir1 Ir 0.0000 0.0000 0.0000 1
W1 W 0.0000 0.0000 0.5000 1
F1 F 0.0000 0.0000 0.4432 1
```

Magnetization   0.342 μB/atom
DOS at the Fermi energy   3.900 states/eV/f.u.
Energy   -5.386 eV per atom
Crystal system   trigonal
Energy relative to the lowest polymorph listed for this composition   0.0 meV/atom